A:
VASP calculation (PBE) on a geometry-optimized TlCuI3 structure.

abc: 14.494 9.184 5.952
angles: 90.00 93.44 90.00
Space group C2/m (No. 12)
Unique sites:
Tl: 0.220 0.000 0.325 x4
Cu: 0.000 0.333 0.500 x4
I: 0.101 0.500 0.253 x4
I: 0.123 0.205 0.753 x8

## Properties
The calculation puts the calculated density at 5.4 g cm⁻³.

=====

B:
VASP calculation (PBE) on a geometry-optimized TlCuI3 structure.

abc: 5.543 5.543 5.543
angles: 90.00 90.00 90.00
Space group Pm-3m (No. 221)
Unique sites:
Tl: 0.000 0.000 0.000 x1
Cu: 0.500 0.500 0.500 x1
I: 0.000 0.500 0.500 x3

## Properties
The calculation puts the calculated density at 6.3 g cm⁻³.

=====

Most stable to least stable: A, B

=====

A:
VASP calculation (PBE) on a geometry-optimized V2Cu2I structure.

abc: 6.629 6.629 3.767
angles: 90.00 90.00 90.00
Space group P4/mbm (No. 127)
Unique sites:
V: 0.125 0.375 0.000 x4
Cu: 0.148 0.648 0.500 x4
I: 0.000 0.000 0.000 x2

## Properties
The calculation puts the calculated density at 7.1 g cm⁻³.

=====

B:
VASP calculation (PBE) on a geometry-optimized V2Cu2I structure.

abc: 3.476 3.476 13.183
angles: 90.00 90.00 90.00
Space group I4/mmm (No. 139)
Unique sites:
V: 0.000 0.000 0.103 x4
Cu: 0.000 0.500 0.250 x4
I: 0.000 0.000 0.500 x2

## Properties
The calculation puts the calculated density at 7.4 g cm⁻³.

=====

Most stable to least stable: A, B

=====

A:
VASP calculation (PBE) on a geometry-optimized YCu2I structure.

abc: 7.007 7.007 7.007
angles: 90.00 90.00 90.00
Space group Fm-3m (No. 225)
Unique sites:
Y: 0.000 0.000 0.000 x4
Cu: 0.250 0.250 0.250 x8
I: 0.000 0.000 0.500 x4

## Properties
The calculation puts the calculated density at 6.6 g cm⁻³.

=====

B:
VASP calculation (PBE) on a geometry-optimized YCu2I structure.

abc: 7.876 7.876 5.847
angles: 90.00 90.00 90.00
Space group I-42d (No. 122)
Unique sites:
Y: 0.000 0.000 0.000 x4
Cu: 0.237 0.250 0.625 x8
I: 0.000 0.000 0.500 x4

## Properties
The calculation puts the calculated density at 6.3 g cm⁻³.

=====

Most stable to least stable: B, A

=====

A:
VASP calculation (PBE) on a geometry-optimized YCuI3 structure.

abc: 5.396 5.396 5.396
angles: 90.00 90.00 90.00
Space group Pm-3m (No. 221)
Unique sites:
Y: 0.000 0.000 0.000 x1
Cu: 0.500 0.500 0.500 x1
I: 0.000 0.500 0.500 x3

## Properties
The calculation puts the calculated density at 5.6 g cm⁻³.

=====

B:
VASP calculation (PBE) on a geometry-optimized YCuI3 structure.

abc: 5.968 5.968 5.968
angles: 90.00 90.00 90.00
Space group Pm-3m (No. 221)
Unique sites:
Y: 0.000 0.000 0.000 x1
Cu: 0.500 0.500 0.500 x1
I: 0.000 0.000 0.500 x3

## Properties
The calculation puts the calculated density at 4.2 g cm⁻³.

=====

Most stable to least stable: B, A

=====

A:
VASP calculation (PBE) on a geometry-optimized Y2CuI2 structure.

abc: 5.293 5.293 12.245
angles: 90.00 90.00 90.00
Space group I4/mmm (No. 139)
Unique sites:
Y: 0.000 0.500 0.250 x4
Cu: 0.000 0.000 0.000 x2
I: 0.000 0.000 0.363 x4

## Properties
The calculation puts the calculated density at 4.8 g cm⁻³.

=====

B:
VASP calculation (PBE) on a geometry-optimized Y2CuI2 structure.

abc: 4.0649 4.0649 35.1884
angles: 90.00 90.00 120.00
Space group R-3m (No. 166, hexagonal axes)
Unique sites:
Y: 0.0000 0.0000 0.1198 x6
Cu: 0.0000 0.0000 0.5000 x3
I: 0.0000 0.0000 0.2734 x6

## Properties
The calculation puts the calculated density at 4.9 g cm⁻³.

=====

C:
VASP calculation (PBE) on a geometry-optimized Y2CuI2 structure.

abc: 8.574 8.574 3.729
angles: 90.00 90.00 90.00
Space group P4/mbm (No. 127)
Unique sites:
Y: 0.157 0.343 0.000 x4
Cu: 0.000 0.000 0.500 x2
I: 0.140 0.640 0.500 x4

## Properties
The calculation puts the calculated density at 6.0 g cm⁻³.

=====

Most stable to least stable: B, C, A

=====

A:
VASP calculation (PBE) on a geometry-optimized YCu3I structure.

abc: 4.928 4.928 4.928
angles: 90.00 90.00 90.00
Space group Pm-3m (No. 221)
Unique sites:
Y: 0.000 0.000 0.000 x1
Cu: 0.000 0.500 0.500 x3
I: 0.500 0.500 0.500 x1

## Properties
The calculation puts the calculated density at 5.6 g cm⁻³.

=====

B:
VASP calculation (PBE) on a geometry-optimized YCu3I structure.

abc: 5.284 5.284 5.284
angles: 90.00 90.00 90.00
Space group Pm-3m (No. 221)
Unique sites:
Y: 0.000 0.000 0.000 x1
Cu: 0.000 0.000 0.500 x3
I: 0.500 0.500 0.500 x1

## Properties
The calculation puts the calculated density at 4.6 g cm⁻³.

=====

Most stable to least stable: A, B

=====

A:
VASP calculation (PBE) on a geometry-optimized Zn2CuI structure.

abc: 6.813 6.813 9.077
angles: 90.00 90.00 90.00
Space group I-42d (No. 122)
Unique sites:
Zn: 0.191 0.250 0.125 x8
Cu: 0.000 0.000 0.000 x4
I: 0.000 0.000 0.500 x4

## Properties
The calculation puts the calculated density at 5.1 g cm⁻³.

=====

B:
VASP calculation (PBE) on a geometry-optimized Zn2CuI structure.

abc: 6.994 6.994 6.994
angles: 90.00 90.00 90.00
Space group Fm-3m (No. 225)
Unique sites:
Zn: 0.250 0.250 0.250 x8
Cu: 0.000 0.000 0.000 x4
I: 0.000 0.000 0.500 x4

## Properties
The calculation puts the calculated density at 6.2 g cm⁻³.

=====

Most stable to least stable: A, B

=====

A:
VASP calculation (PBE) on a geometry-optimized ZnCu2I structure.

abc: 6.766 6.766 7.650
angles: 90.00 90.00 90.00
Space group I-42d (No. 122)
Unique sites:
Zn: 0.000 0.000 0.000 x4
Cu: 0.227 0.750 0.125 x8
I: 0.000 0.000 0.500 x4

## Properties
The calculation puts the calculated density at 6.1 g cm⁻³.

=====

B:
VASP calculation (PBE) on a geometry-optimized ZnCu2I structure.

abc: 6.694 6.694 6.694
angles: 90.00 90.00 90.00
Space group Fm-3m (No. 225)
Unique sites:
Zn: 0.000 0.000 0.000 x4
Cu: 0.250 0.250 0.250 x8
I: 0.000 0.000 0.500 x4

## Properties
The calculation puts the calculated density at 7.1 g cm⁻³.

=====

Most stable to least stable: A, B

=====

A:
VASP calculation (PBE) on a geometry-optimized ZrCuI2 structure.

abc: 7.249 7.249 7.249
angles: 90.00 90.00 90.00
Space group Fm-3m (No. 225)
Unique sites:
Zr: 0.000 0.000 0.000 x4
Cu: 0.000 0.000 0.500 x4
I: 0.250 0.250 0.250 x8

## Properties
The calculation puts the calculated density at 7.1 g cm⁻³.

=====

B:
VASP calculation (PBE) on a geometry-optimized ZrCuI2 structure.

abc: 6.648 6.648 11.647
angles: 90.00 90.00 90.00
Space group I-42d (No. 122)
Unique sites:
Zr: 0.000 0.000 0.000 x4
Cu: 0.000 0.000 0.500 x4
I: 0.209 0.250 0.625 x8

## Properties
The calculation puts the calculated density at 5.3 g cm⁻³.

=====

Most stable to least stable: A, B

=====

A:
VASP calculation (PBE) on a geometry-optimized In3Cu5 structure.

abc: 7.092 8.534 4.205
angles: 90.00 90.00 90.00
Space group Cmmm (No. 65)
Unique sites:
In: 0.000 0.000 0.000 x2
In: 0.000 0.273 0.500 x4
Cu: 0.000 0.500 0.000 x2
Cu: 0.241 0.000 0.500 x4
Cu: 0.250 0.250 0.000 x4

## Properties
The calculation puts the calculated density at 8.6 g cm⁻³.

=====

B:
VASP calculation (PBE) on a geometry-optimized In3Cu5 structure.

abc: 8.1152 8.1152 4.7824
angles: 90.00 90.00 120.00
Space group P6_3/mcm (No. 193)
Unique sites:
In: 0.0000 0.3856 0.2500 x6
Cu: 0.0000 0.1783 0.7500 x6
Cu: 0.3333 0.6667 0.0000 x4

## Properties
The calculation puts the calculated density at 8.1 g cm⁻³.

=====

Most stable to least stable: A, B

=====

A:
VASP calculation (PBE) on a geometry-optimized In4CuIr structure.

abc: 8.091 8.091 8.091
angles: 90.00 90.00 90.00
Space group F-43m (No. 216)
Unique sites:
In: 0.125 0.125 0.125 x16
Cu: 0.000 0.000 0.500 x4
Ir: 0.250 0.250 0.750 x4

## Properties
The calculation puts the calculated density at 9.0 g cm⁻³.

=====

B:
VASP calculation (PBE) on a geometry-optimized In4CuIr structure.

abc: 6.689 6.689 11.125
angles: 90.00 90.00 90.00
Space group I4/mcm (No. 140)
Unique sites:
In: 0.165 0.335 0.133 x16
Cu: 0.000 0.000 0.000 x4
Ir: 0.000 0.000 0.250 x4

## Properties
The calculation puts the calculated density at 9.5 g cm⁻³.

=====

Most stable to least stable: B, A

=====

A:
VASP calculation (PBE) on a geometry-optimized InCuIr structure.

abc: 6.119 6.119 6.119
angles: 90.00 90.00 90.00
Space group F-43m (No. 216)
Unique sites:
In: 0.000 0.000 0.000 x4
Cu: 0.000 0.000 0.500 x4
Ir: 0.250 0.250 0.250 x4

## Properties
The calculation puts the calculated density at 10.7 g cm⁻³.

=====

B:
VASP calculation (PBE) on a geometry-optimized InCuIr structure.

abc: 3.008 3.767 8.394
angles: 90.00 90.00 90.00
Space group Imm2 (No. 44)
Unique sites:
In: 0.000 0.000 0.000 x2
Cu: 0.000 0.000 0.324 x2
Ir: 0.000 0.000 0.670 x2

## Properties
The calculation puts the calculated density at 12.9 g cm⁻³.

=====

C:
VASP calculation (PBE) on a geometry-optimized InCuIr structure.

abc: 2.972 4.997 13.262
angles: 90.00 90.00 90.00
Space group Fmm2 (No. 42)
Unique sites:
In: 0.000 0.000 0.000 x4
Cu: 0.000 0.000 0.331 x4
Ir: 0.000 0.000 0.673 x4

## Properties
The calculation puts the calculated density at 12.5 g cm⁻³.

=====

D:
VASP calculation (PBE) on a geometry-optimized InCuIr structure.

abc: 4.3733 4.3733 5.6732
angles: 90.00 90.00 120.00
Space group P-3m1 (No. 164)
Unique sites:
In: 0.3333 0.6667 0.2627 x2
Cu: 0.3333 0.6667 0.7686 x2
Ir: 0.0000 0.0000 0.0000 x1
Ir: 0.0000 0.0000 0.5000 x1

## Properties
The calculation puts the calculated density at 13.1 g cm⁻³.

=====

Most stable to least stable: D, B, A, C